Record 1
Below is an optimized crystal structure of TbScOsO6, with properties calculated at the PBE level.

Output
density of states at the Fermi level	0.4948	states/eV/atom
ΔE_f (raw)	-21.44	eV/f.u.

Cell and atoms, written as POSCAR:
```
TbScOsO6
1.0
5.2876 0.0000 0.0000
-2.6438 4.5792 0.0000
0.0000 0.0000 9.7665
Tb Sc Os O
2 2 2 12
direct
0.0000 0.0000 0.0000
0.0000 0.0000 0.5000
0.3333 0.6667 0.2500
0.6667 0.3333 0.7500
0.3333 0.6667 0.7500
0.6667 0.3333 0.2500
0.0243 0.3666 0.6385
0.0243 0.6577 0.8615
0.3423 0.3666 0.8615
0.3423 0.9757 0.6385
0.3666 0.0243 0.1385
0.3666 0.3423 0.3615
0.6334 0.6577 0.6385
0.6334 0.9757 0.8615
0.6577 0.0243 0.3615
0.6577 0.6334 0.1385
0.9757 0.3423 0.1385
0.9757 0.6334 0.3615
```

=====

Record 2
Below is an optimized crystal structure of Sc2Ti2Au, with properties calculated at the PBE level.

Output
density of states at the Fermi level	1.2025	states/eV/atom
formation energy from the elements	-0.068	eV per atom

Cell and atoms, written as POSCAR:
```
Sc2Ti2Au
1.0
6.8183 0.0000 0.0000
0.0000 6.8183 0.0000
0.0000 0.0000 4.4080
Sc Ti Au
4 4 2
direct
0.1584 0.3416 0.0000
0.3416 0.8416 0.0000
0.6584 0.1584 0.0000
0.8416 0.6584 0.0000
0.1394 0.6394 0.5000
0.3606 0.1394 0.5000
0.6394 0.8606 0.5000
0.8606 0.3606 0.5000
0.0000 0.0000 0.5000
0.5000 0.5000 0.5000
```

=====

Record 3
Below is an optimized crystal structure of Tl3Zn5Cl12, with properties calculated at the PBE level.

Output
density of states at the Fermi level	0.1152	states/eV/atom
ΔE_f (raw)	-19.77	eV/f.u.

Cell and atoms, written as POSCAR:
```
Tl3Zn5Cl12
1.0
-8.1796 8.1796 8.1796
8.1796 -8.1796 8.1796
8.1796 8.1796 -8.1796
Tl Zn Cl
12 20 48
direct
0.1250 0.2500 0.3750
0.1250 0.3750 0.7500
0.2500 0.3750 0.1250
0.2500 0.8750 0.6250
0.3750 0.1250 0.2500
0.3750 0.7500 0.1250
0.6250 0.2500 0.8750
0.6250 0.8750 0.7500
0.7500 0.1250 0.3750
0.7500 0.6250 0.8750
0.8750 0.6250 0.2500
0.8750 0.7500 0.6250
0.0000 0.0000 0.0000
0.0000 0.0000 0.5000
0.0000 0.5000 0.0000
0.0000 0.5000 0.5000
0.1250 0.7500 0.8750
0.1250 0.8750 0.2500
0.2500 0.1250 0.8750
0.2500 0.6250 0.3750
0.3750 0.2500 0.6250
0.3750 0.6250 0.7500
0.5000 0.0000 0.0000
0.5000 0.0000 0.5000
0.5000 0.5000 0.0000
0.5000 0.5000 0.5000
0.6250 0.3750 0.2500
0.6250 0.7500 0.3750
0.7500 0.3750 0.6250
0.7500 0.8750 0.1250
0.8750 0.1250 0.7500
0.8750 0.2500 0.1250
0.0087 0.1937 0.1083
0.0087 0.3150 0.9003
0.0854 0.6937 0.6851
0.0854 0.8917 0.4003
0.0997 0.6083 0.4146
0.0997 0.9913 0.6851
0.1083 0.0087 0.1937
0.1083 0.5997 0.9146
0.1850 0.1937 0.5854
0.1850 0.4913 0.5997
0.1937 0.1083 0.0087
0.1937 0.5854 0.1850
0.3063 0.3150 0.9146
0.3063 0.4913 0.3917
0.3150 0.9003 0.0087
0.3150 0.9146 0.3063
0.3917 0.3063 0.4913
0.3917 0.5854 0.9003
0.4003 0.0854 0.8917
0.4003 0.8149 0.5087
0.4146 0.0997 0.6083
0.4146 0.8149 0.8063
0.4913 0.3917 0.3063
0.4913 0.5997 0.1850
0.5087 0.4003 0.8149
0.5087 0.6083 0.6937
0.5854 0.1850 0.1937
0.5854 0.9003 0.3917
0.5997 0.1850 0.4913
0.5997 0.9146 0.1083
0.6083 0.4146 0.0997
0.6083 0.6937 0.5087
0.6851 0.0854 0.6937
0.6851 0.0997 0.9913
0.6937 0.5087 0.6083
0.6937 0.6851 0.0854
0.8063 0.4146 0.8149
0.8063 0.8917 0.9913
0.8149 0.5087 0.4003
0.8149 0.8063 0.4146
0.8917 0.4003 0.0854
0.8917 0.9913 0.8063
0.9003 0.0087 0.3150
0.9003 0.3917 0.5854
0.9146 0.1083 0.5997
0.9146 0.3063 0.3150
0.9913 0.6851 0.0997
0.9913 0.8063 0.8917
```

=====

Record 4
Below is an optimized crystal structure of Sm3Y7Er, with properties calculated at the PBE level.

Output
density of states at the Fermi level	1.6599	states/eV/atom
formation energy from the elements	0.143	eV per atom

Cell and atoms, written as POSCAR:
```
Sm3Y7Er
1.0
6.9232 0.0000 0.0000
0.0000 5.5436 0.0000
-3.2192 0.0000 9.5287
Sm Y Er
3 7 1
direct
0.0000 0.0000 0.0000
0.2789 0.5000 0.4942
0.7211 0.5000 0.5058
0.0000 0.0000 0.5000
0.1510 0.5000 0.7877
0.3175 0.5000 0.1341
0.4274 0.0000 0.3289
0.5726 0.0000 0.6711
0.6825 0.5000 0.8659
0.8490 0.5000 0.2123
0.5000 0.0000 0.0000
```

=====

Record 5
Below is an optimized crystal structure of Rb2AgHg2, with properties calculated at the PBE level.

Output
density of states at the Fermi level	0.5689	states/eV/atom
formation energy from the elements	-0.066	eV per atom

Cell and atoms, written as POSCAR:
```
Rb2AgHg2
1.0
-2.2312 2.2312 10.3498
2.2312 -2.2312 10.3498
2.2312 2.2312 -10.3498
Rb Ag Hg
2 1 2
direct
0.1018 0.1018 0.0000
0.8982 0.8982 0.0000
0.5000 0.5000 0.0000
0.2500 0.7500 0.5000
0.7500 0.2500 0.5000
```

=====

Record 6
Below is an optimized crystal structure of RbCoSn2Cl8, with properties calculated at the PBE level.

Output
ΔE_f (raw)	-12.36	eV/f.u.

Cell and atoms, written as POSCAR:
```
RbCoSn2Cl8
1.0
6.6879 0.0000 0.0000
0.6279 7.1952 0.0000
0.7589 2.9121 7.7467
Rb Co Sn Cl
1 1 2 8
direct
0.0000 0.0000 0.0000
0.0000 0.5000 0.5000
0.4664 0.4784 0.2625
0.5336 0.5216 0.7375
0.0648 0.4219 0.2569
0.2251 0.7380 0.3908
0.2485 0.2772 0.6289
0.4689 0.7652 0.9611
0.5311 0.2348 0.0389
0.7515 0.7228 0.3711
0.7749 0.2620 0.6092
0.9352 0.5781 0.7431
```

=====

Record 7
Below is an optimized crystal structure of Y3Ga8Pd3, with properties calculated at the PBE level.

Output
density of states at the Fermi level	0.3419	states/eV/atom
formation energy from the elements	-0.703	eV per atom

Cell and atoms, written as POSCAR:
```
Y3Ga8Pd3
1.0
7.8404 -2.1630 0.0000
7.8404 2.1630 0.0000
-5.6126 0.0000 7.6542
Y Ga Pd
3 8 3
direct
0.0000 0.0000 0.0000
0.2943 0.2943 0.2938
0.7057 0.7057 0.7062
0.1421 0.1421 0.4286
0.1477 0.1477 0.8659
0.3460 0.3460 0.7190
0.4982 0.4982 0.3208
0.5018 0.5018 0.6792
0.6540 0.6540 0.2810
0.8523 0.8523 0.1341
0.8579 0.8579 0.5714
0.0000 0.0000 0.5000
0.3510 0.3510 0.9902
0.6490 0.6490 0.0098
```

=====

Record 8
Below is an optimized crystal structure of LaRhAu, with properties calculated at the PBE level.

Output
density of states at the Fermi level	0.9824	states/eV/atom
formation energy from the elements	-0.089	eV per atom

Cell and atoms, written as POSCAR:
```
LaRhAu
1.0
0.0000 3.3979 3.3979
3.3979 0.0000 3.3979
3.3979 3.3979 0.0000
La Rh Au
1 1 1
direct
0.0000 0.0000 0.0000
0.2500 0.2500 0.2500
0.7500 0.7500 0.7500
```

=====

Record 9
Below is an optimized crystal structure of LaTiSeN2, with properties calculated at the PBE level.

Output
density of states at the Fermi level	0.5447	states/eV/atom
ΔE_f (raw)	-4.17	eV/f.u.

Cell and atoms, written as POSCAR:
```
LaTiSeN2
1.0
4.0995 0.0000 0.0000
0.0000 4.0995 0.0000
0.0000 0.0000 5.0139
La Ti Se N
1 1 1 2
direct
0.0000 0.0000 0.0000
0.5000 0.5000 0.5000
0.5000 0.5000 0.0000
0.0000 0.5000 0.5000
0.5000 0.0000 0.5000
```

=====

Record 10
Below is an optimized crystal structure of Ce3PaS4, with properties calculated at the PBE level.

Output
density of states at the Fermi level	1.9607	states/eV/atom
ΔE_f (raw)	-15.39	eV/f.u.

Cell and atoms, written as POSCAR:
```
Ce3PaS4
1.0
6.9008 0.0000 0.0000
0.0000 7.9788 0.0000
-2.3046 0.0000 6.4858
Ce Pa S
6 2 8
direct
0.0000 0.1243 0.2500
0.0000 0.3742 0.7500
0.0000 0.6258 0.2500
0.0000 0.8757 0.7500
0.5000 0.3742 0.2500
0.5000 0.6258 0.7500
0.5000 0.1234 0.7500
0.5000 0.8766 0.2500
0.2530 0.3720 0.5035
0.2530 0.6280 0.0035
0.2553 0.1226 0.9996
0.2553 0.8774 0.4996
0.7447 0.1226 0.5004
0.7447 0.8774 0.0004
0.7470 0.3720 0.9965
0.7470 0.6280 0.4965
```

=====

Record 11
Below is an optimized crystal structure of Cs2Na2Sr, with properties calculated at the PBE level.

Output
density of states at the Fermi level	0.7723	states/eV/atom
formation energy from the elements	0.158	eV per atom

Cell and atoms, written as POSCAR:
```
Cs2Na2Sr
1.0
11.9626 0.0000 0.0000
0.0000 11.9626 0.0000
0.0000 0.0000 4.5136
Cs Na Sr
4 4 2
direct
0.1347 0.3653 0.0000
0.3653 0.8653 0.0000
0.6347 0.1347 0.0000
0.8653 0.6347 0.0000
0.1690 0.6690 0.5000
0.3310 0.1690 0.5000
0.6690 0.8310 0.5000
0.8310 0.3310 0.5000
0.0000 0.0000 0.0000
0.5000 0.5000 0.0000
```

=====

Record 12
Below is an optimized crystal structure of BeTcP2, with properties calculated at the PBE level.

Output
density of states at the Fermi level	0.7193	states/eV/atom
formation energy from the elements	-0.071	eV per atom

Cell and atoms, written as POSCAR:
```
BeTcP2
1.0
1.5210 0.8781 6.4908
-1.5210 0.8781 6.4908
0.0000 -1.7563 6.4908
Be Tc P
1 1 2
direct
0.0000 0.0000 0.0000
0.5000 0.5000 0.5000
0.2550 0.2550 0.2550
0.7450 0.7450 0.7450
```

=====

no.,electronic total energy (eV/atom)
1,-8.153
2,-6.414
3,-2.770
4,-5.672
5,-1.144
6,-3.601
7,-4.931
8,-5.275
9,-7.426
10,-7.399
11,-1.047
12,-6.299